# LiNiP3O9 (GGA+U, optimized geometry)
data_LiNiP3O9
_cell_length_a 9.184
_cell_length_b 7.203
_cell_length_c 12.119
_cell_angle_alpha 90.00
_cell_angle_beta 90.00
_cell_angle_gamma 90.00
_symmetry_space_group_name_H-M 'P n m a'
_symmetry_Int_Tables_number 62
loop_
_symmetry_equiv_pos_as_xyz
'x,y,z'
'-x,-y,-z'
'-x+1/2,-y,z+1/2'
'x+1/2,y,-z+1/2'
'x+1/2,-y+1/2,-z+1/2'
'-x+1/2,y+1/2,z+1/2'
'-x,y+1/2,-z'
'x,-y+1/2,z'
loop_
_atom_site_label
_atom_site_type_symbol
_atom_site_fract_x
_atom_site_fract_y
_atom_site_fract_z
_atom_site_occupancy
Li1 Li 0.055 0.250 0.009 1
Ni1 Ni 0.022 0.750 0.781 1
P1 P 0.200 0.250 0.451 1
P2 P 0.250 0.043 0.648 1
O1 O 0.094 0.250 0.359 1
O2 O 0.111 0.061 0.122 1
O3 O 0.138 0.750 0.929 1
O4 O 0.146 0.532 0.731 1
O5 O 0.165 0.077 0.533 1
O6 O 0.201 0.750 0.185 1
# Energy relative to the lowest polymorph listed for this composition, meV/atom: 43.6
# N(E_F), states/eV per cell: 0.0